(1)
# CuC2I (PBE, optimized geometry)
# - Polymorph energy (0 for the lowest one): 0 meV per atom
# - Energy: -63.62 eV/cell
# - Mass density: 5.78 g/cm³
# - Energy relative to the elements, uncorrected: 2.047 eV per atom
# - Density of states at the Fermi level: 0.65 states/eV/f.u.
data_CuC2I
_cell_length_a 4.978
_cell_length_b 4.978
_cell_length_c 9.949
_cell_angle_alpha 90.00
_cell_angle_beta 90.00
_cell_angle_gamma 90.00
_space_group_name_H-M_alt 'I -4 2 d'
_space_group_IT_number 122
_space_group_name_Hall 'I -4 2bw'
loop_
_atom_site_label
_atom_site_type_symbol
_atom_site_fract_x
_atom_site_fract_y
_atom_site_fract_z
Cu1 Cu 0.000 0.000 0.000
C1 C 0.180 0.250 0.125
I1 I 0.000 0.000 0.500



(2)
# YCd2Ag2 (PBE, optimized geometry)
# - Formation enthalpy at 0 K: -0.170 eV per atom
# - Polymorph energy (0 for the lowest one): 58 meV per atom
# - Energy: -29.69 eV/cell
# - Mass density: 7.69 g/cm³
# - Density of states at the Fermi level: 2.75 states/eV/f.u.
data_YCd2Ag2
_cell_length_a 4.125
_cell_length_b 4.125
_cell_length_c 13.446
_cell_angle_alpha 90.00
_cell_angle_beta 90.00
_cell_angle_gamma 90.00
_space_group_name_H-M_alt 'I 4/m m m'
_space_group_IT_number 139
_space_group_name_Hall '-I 4 2'
loop_
_atom_site_label
_atom_site_type_symbol
_atom_site_fract_x
_atom_site_fract_y
_atom_site_fract_z
Y1 Y 0.000 0.000 0.000
Cd1 Cd 0.000 0.500 0.250
Ag1 Ag 0.000 0.000 0.400



(3)
# KLaTlAs2 (PBE, optimized geometry)
# - Formation enthalpy at 0 K: 0.369 eV per atom
# - Energy: -15.85 eV/cell
# - Mass density: 4.79 g/cm³
# - Density of states at the Fermi level: 4.04 states/eV/f.u.
data_KLaTlAs2
_cell_length_a 5.642
_cell_length_b 5.642
_cell_length_c 5.802
_cell_angle_alpha 90.00
_cell_angle_beta 90.00
_cell_angle_gamma 90.00
_space_group_name_H-M_alt 'P 4/m m m'
_space_group_IT_number 123
_space_group_name_Hall '-P 4 2'
loop_
_atom_site_label
_atom_site_type_symbol
_atom_site_fract_x
_atom_site_fract_y
_atom_site_fract_z
K1 K 0.000 0.000 0.000
La1 La 0.500 0.500 0.000
Tl1 Tl 0.500 0.500 0.500
As1 As 0.000 0.500 0.500



(4)
# TlSb2Se (PBE, optimized geometry)
# - Polymorph energy (0 for the lowest one): 204 meV per atom
# - Energy: -27.42 eV/cell
# - Mass density: 7.93 g/cm³
# - Energy relative to the elements, uncorrected: 0.096 eV per atom
# - Density of states at the Fermi level: 2.14 states/eV/f.u.
data_TlSb2Se
_cell_length_a 3.719
_cell_length_b 5.558
_cell_length_c 10.678
_cell_angle_alpha 90.00
_cell_angle_beta 90.00
_cell_angle_gamma 90.00
_space_group_name_H-M_alt 'I m m 2'
_space_group_IT_number 44
loop_
_space_group_symop_operation_xyz
'x,y,z'
'-x,-y,z'
'-x,y,z'
'x,-y,z'
'x+1/2,y+1/2,z+1/2'
'-x+1/2,-y+1/2,z+1/2'
'-x+1/2,y+1/2,z+1/2'
'x+1/2,-y+1/2,z+1/2'
loop_
_atom_site_label
_atom_site_type_symbol
_atom_site_fract_x
_atom_site_fract_y
_atom_site_fract_z
Tl1 Tl 0.000 0.000 0.000
Sb1 Sb 0.000 0.000 0.521
Sb2 Sb 0.000 0.500 0.786
Se1 Se 0.000 0.500 0.232